# 1
The following is a DFT calculation (PBE) of an optimized crystal structure of PuZrNiMo.

a b c (Å): 4.6937 4.6937 4.6937
angles (deg): 60.00 60.00 60.00
Last column: magnetic moment on the atom in μB.
Fractional coordinates of all 4 atoms:
Ni: 0.2500 0.2500 0.2500  -0.26
Mo: 0.7500 0.7500 0.7500  -0.59
Zr: 0.0000 0.0000 0.0000  0.01
Pu: 0.5000 0.5000 0.5000  4.77

## Properties
Its space-group type is No. 216. For the energy relative to the elements, the calculation gives 0.02 eV per atom. As for the magnetic moment: 4.05 μB/f.u. The value obtained for the total energy is -9.851 eV per atom.

# 2
The following is a DFT calculation (PBE) of an optimized crystal structure of Rb2NiMo.

a b c (Å): 5.9228 5.9228 5.9228
angles (deg): 60.00 60.00 60.00
Last column: magnetic moment on the atom in μB.
Fractional coordinates of all 4 atoms:
Ni: 0.0000 0.0000 0.0000  -0.07
Mo: 0.5000 0.5000 0.5000  3.89
Rb: 0.2500 0.2500 0.2500  0.04
Rb: 0.7500 0.7500 0.7500  0.04

## Properties
The excess energy over the best structure of this formula in the dataset comes out at 542.6 meV per atom. Its space-group type is No. 225. For the energy relative to the elements, the calculation gives 1.78 eV per atom. As for the magnetic moment: 5.18 μB/f.u. The value obtained for the total energy is -2.859 eV per atom.

# 3
The following is a DFT calculation (PBE) of an optimized crystal structure of RbNiMo2.

a b c (Å): 4.5617 4.5617 4.5617
angles (deg): 60.00 60.00 60.00
Fractional coordinates of all 4 atoms:
Ni: 0.0000 0.0000 0.0000
Mo: 0.2500 0.2500 0.2500
Mo: 0.7500 0.7500 0.7500
Rb: 0.5000 0.5000 0.5000

## Properties
The excess energy over the best structure of this formula in the dataset comes out at 229.6 meV per atom. Its space-group type is No. 225. For the energy relative to the elements, the calculation gives 1.89 eV per atom. As for the magnetic moment: 0.00 μB/f.u. The value obtained for the total energy is -5.216 eV per atom.

# 4
The following is a DFT calculation (PBE) of an optimized crystal structure of RbNiMo2.

a b c (Å): 4.8635 4.8635 9.4455
angles (deg): 75.08 75.08 90.00
Fractional coordinates of all 8 atoms:
Ni: 0.5000 0.5000 0.0000
Ni: 0.2500 0.7500 0.5000
Mo: 0.3751 0.1250 0.2500
Mo: 0.3749 0.6250 0.2500
Mo: 0.3750 0.6249 0.7500
Mo: 0.8750 0.6251 0.7500
Rb: 0.0000 0.0000 0.0000
Rb: 0.7500 0.2500 0.5000

## Properties
The excess energy over the best structure of this formula in the dataset comes out at 0.0 meV per atom. Its space-group type is No. 141. For the energy relative to the elements, the calculation gives 1.66 eV per atom. As for the magnetic moment: 0.00 μB/f.u. The value obtained for the total energy is -5.446 eV per atom.

# 5
The following is a DFT calculation (PBE) of an optimized crystal structure of Rb2NiMo.

a b c (Å): 12.9680 12.9680 9.4523
angles (deg): 46.69 46.69 90.00
Last column: magnetic moment on the atom in μB.
Fractional coordinates of all 8 atoms:
Ni: 0.5000 0.5000 0.0000  0.16
Ni: 0.2500 0.7500 0.5000  0.16
Mo: 0.0000 0.0000 0.0000  2.50
Mo: 0.7500 0.2500 0.5000  2.50
Rb: 0.4424 0.1250 0.2500  0.01
Rb: 0.3076 0.6250 0.2500  0.01
Rb: 0.3750 0.5576 0.7500  0.02
Rb: 0.8750 0.6924 0.7500  0.02

## Properties
The excess energy over the best structure of this formula in the dataset comes out at 0.0 meV per atom. Its space-group type is No. 122. For the energy relative to the elements, the calculation gives 1.24 eV per atom. As for the magnetic moment: 3.68 μB/f.u. The value obtained for the total energy is -3.401 eV per atom.

# 6
The following is a DFT calculation (PBE) of an optimized crystal structure of RbNiMo2S8.

a b c (Å): 6.0728 6.0728 10.2045
angles (deg): 72.69 72.69 60.00
Last column: magnetic moment on the atom in μB.
Fractional coordinates of all 12 atoms:
Rb: 0.5000 0.5000 0.5000  0.00
Ni: 0.0000 0.0000 0.0000  0.43
Mo: 0.2616 0.2616 0.2153  0.05
Mo: 0.7384 0.7384 0.7847  0.05
S: 0.1858 0.1858 0.4427  0.01
S: 0.6436 0.2637 0.1447  0.04
S: 0.8142 0.8142 0.5573  0.01
S: 0.9480 0.6436 0.1447  0.04
S: 0.0520 0.3564 0.8553  0.04
S: 0.2637 0.9480 0.1447  0.04
S: 0.7363 0.0520 0.8553  0.04
S: 0.3564 0.7363 0.8553  0.04

## Properties
Its space-group type is No. 148. The formation energy (no corrections) is -0.396 eV/atom. As for the magnetic moment: 0.95 μB/f.u. The value obtained for the total energy is -5.515 eV per atom.

# 7
The following is a DFT calculation (PBE) of an optimized crystal structure of RbZrNi2Mo.

a b c (Å): 4.5084 4.9511 4.5084
angles (deg): 90.00 90.00 90.00
Last column: magnetic moment on the atom in μB.
Fractional coordinates of all 5 atoms:
Ni: 0.0000 0.0000 0.5000  0.14
Ni: 0.5000 0.0000 0.0000  0.11
Mo: 0.0000 0.5000 0.0000  1.00
Rb: 0.0000 0.0000 0.0000  0.05
Zr: 0.5000 0.5000 0.5000  -0.14

## Properties
Its space-group type is No. 123. For the energy relative to the elements, the calculation gives 2.23 eV per atom. As for the magnetic moment: 1.14 μB/f.u. The value obtained for the total energy is -4.148 eV per atom.

# 8
The following is a DFT calculation (PBE) of an optimized crystal structure of ReNiMo3.

a b c (Å): 4.7023 4.7023 4.7023
angles (deg): 90.00 90.00 90.00
Fractional coordinates of all 5 atoms:
Re: 0.0000 0.0000 0.0000
Mo: 0.0000 0.5000 0.0000
Mo: 0.0000 0.0000 0.5000
Mo: 0.5000 0.0000 0.0000
Ni: 0.5000 0.5000 0.5000

## Properties
Its space-group type is No. 221. For the energy relative to the elements, the calculation gives 1.88 eV per atom. As for the magnetic moment: 0.00 μB/f.u. The value obtained for the total energy is -8.264 eV per atom.

# 9
The following is a DFT calculation (PBE) of an optimized crystal structure of Re2NiMo.

a b c (Å): 4.3338 4.3338 4.3338
angles (deg): 60.00 60.00 60.00
Fractional coordinates of all 4 atoms:
Re: 0.2500 0.2500 0.2500
Re: 0.7500 0.7500 0.7500
Mo: 0.5000 0.5000 0.5000
Ni: 0.0000 0.0000 0.0000

## Properties
The excess energy over the best structure of this formula in the dataset comes out at 231.3 meV per atom. Its space-group type is No. 225. For the energy relative to the elements, the calculation gives 0.24 eV per atom. As for the magnetic moment: 0.00 μB/f.u. The value obtained for the total energy is -10.137 eV per atom.

# 10
The following is a DFT calculation (PBE) of an optimized crystal structure of Re2NiMo.

a b c (Å): 4.3399 4.3399 4.3399
angles (deg): 60.00 60.00 60.00
Fractional coordinates of all 4 atoms:
Re: 0.0000 0.0000 0.0000
Re: 0.7500 0.7500 0.7500
Ni: 0.2500 0.2500 0.2500
Mo: 0.5000 0.5000 0.5000

## Properties
The excess energy over the best structure of this formula in the dataset comes out at 189.6 meV per atom. Its space-group type is No. 216. For the energy relative to the elements, the calculation gives 0.20 eV per atom. As for the magnetic moment: 0.00 μB/f.u. The value obtained for the total energy is -10.178 eV per atom.

# 11
The following is a DFT calculation (PBE) of an optimized crystal structure of ReNi2Mo.

a b c (Å): 4.1732 2.5891 4.8827
angles (deg): 81.75 90.00 90.00
Fractional coordinates of all 4 atoms:
Re: 0.0000 0.5175 0.4632
Mo: 0.5000 0.7307 0.7810
Ni: 0.0000 0.1533 0.9968
Ni: 0.5000 0.0984 0.2590

## Properties
Its space-group type is No. 6. For the energy relative to the elements, the calculation gives -0.05 eV per atom. As for the magnetic moment: 0.00 μB/f.u. The value obtained for the total energy is -8.760 eV per atom.

# 12
The following is a DFT calculation (PBE) of an optimized crystal structure of ReNi2Mo.

a b c (Å): 4.6548 4.6548 2.6037
angles (deg): 90.00 90.00 111.62
Fractional coordinates of all 4 atoms:
Mo: 0.0000 0.5000 0.5000
Ni: 0.0000 0.0000 0.0000
Ni: 0.5000 0.5000 0.0000
Re: 0.5000 0.0000 0.5000

## Properties
Its space-group type is No. 65. For the energy relative to the elements, the calculation gives 0.03 eV per atom. As for the magnetic moment: 0.00 μB/f.u. The value obtained for the total energy is -8.681 eV per atom.

# 13
The following is a DFT calculation (PBE) of an optimized crystal structure of Re2NiMo.

a b c (Å): 3.8382 3.8379 3.8557
angles (deg): 90.00 90.00 90.00
Fractional coordinates of all 4 atoms:
Re: 0.0000 0.0000 0.0000
Re: 0.5000 0.5000 0.0000
Mo: 0.5000 0.0000 0.5000
Ni: 0.0000 0.5000 0.5000

## Properties
The excess energy over the best structure of this formula in the dataset comes out at 0.0 meV per atom. Its space-group type is No. 123. For the energy relative to the elements, the calculation gives 0.01 eV per atom. As for the magnetic moment: 0.00 μB/f.u. The value obtained for the total energy is -10.368 eV per atom.

# 14
The following is a DFT calculation (PBE) of an optimized crystal structure of ReNi2Mo.

a b c (Å): 4.5103 4.5103 2.5967
angles (deg): 90.00 90.00 90.00
Fractional coordinates of all 4 atoms:
Mo: 0.0000 0.5000 0.5000
Ni: 0.0000 0.0000 0.0000
Ni: 0.5000 0.5000 0.0000
Re: 0.5000 0.0000 0.5000

## Properties
Its space-group type is No. 123. For the energy relative to the elements, the calculation gives 0.20 eV per atom. As for the magnetic moment: 0.00 μB/f.u. The value obtained for the total energy is -8.512 eV per atom.